one.
Sb2TeRhW PBE-GGA relaxed; crystal system = tetragonal
1.0
5.1977 0.0000 0.0000
0.0000 5.1977 0.0000
0.0000 0.0000 5.1760
Sb Te Rh W
2 1 1 1
Direct
0.0000 0.5000 0.0000
0.5000 0.0000 0.0000
0.0000 0.0000 0.5000
0.5000 0.5000 0.5000
0.0000 0.0000 0.0000


two.
Sb2TeRhW PBE-GGA relaxed; crystal system = tetragonal
1.0
5.0107 0.0000 0.0000
0.0000 5.0107 0.0000
0.0000 0.0000 5.2924
Sb Te Rh W
2 1 1 1
Direct
0.0000 0.5000 0.0000
0.5000 0.0000 0.0000
0.0000 0.0000 0.5000
0.0000 0.0000 0.0000
0.5000 0.5000 0.5000


Which one is most stable, and which one is least stable? one is the most stable of them, while two is the least stable.


one.
YSb2TeRh PBE-GGA relaxed; crystal system = tetragonal
1.0
5.7250 0.0000 0.0000
0.0000 5.7250 0.0000
0.0000 0.0000 5.6889
Y Sb Te Rh
1 2 1 1
Direct
0.0000 0.0000 0.0000
0.0000 0.5000 0.0000
0.5000 0.0000 0.0000
0.0000 0.0000 0.5000
0.5000 0.5000 0.5000


two.
YSb2TeRh PBE-GGA relaxed; crystal system = tetragonal
1.0
5.0620 0.0000 0.0000
0.0000 5.0620 0.0000
0.0000 0.0000 5.5215
Y Sb Te Rh
1 2 1 1
Direct
0.0000 0.0000 0.0000
0.0000 0.5000 0.5000
0.5000 0.0000 0.5000
0.5000 0.5000 0.0000
0.5000 0.5000 0.5000


Which one is most stable, and which one is least stable? two is the most stable of them, while one is the least stable.


one.
YSbTe2Rh PBE-GGA relaxed; crystal system = tetragonal
1.0
5.3810 0.0000 0.0000
0.0000 5.3810 0.0000
0.0000 0.0000 4.9372
Y Sb Te Rh
1 1 2 1
Direct
0.0000 0.0000 0.0000
0.5000 0.5000 0.0000
0.0000 0.5000 0.5000
0.5000 0.0000 0.5000
0.5000 0.5000 0.5000


two.
YSbTe2Rh PBE-GGA relaxed; crystal system = tetragonal
1.0
5.7365 0.0000 0.0000
0.0000 5.7365 0.0000
0.0000 0.0000 5.7791
Y Sb Te Rh
1 1 2 1
Direct
0.0000 0.0000 0.0000
0.0000 0.0000 0.5000
0.0000 0.5000 0.0000
0.5000 0.0000 0.0000
0.5000 0.5000 0.5000


Which one is most stable, and which one is least stable? one is the most stable of them, while two is the least stable.